# 1
The following is a PBE calculation of an optimized crystal structure of RbCdPt2S, from the Alexandria database. Values from VASP.

Results
- energy relative to the elements, uncorrected (eV/atom) = 1.723
- mass density (g/cm3) = 7.0
- distance to the lowest polymorph of the same formula (eV per atom) = 1.5549

Cell and atoms, written as Quantum ESPRESSO input:
```
&SYSTEM
  ibrav = 0, nat = 5, ntyp = 4
/
ATOMIC_SPECIES
S 32.06 S.upf
Rb 85.47 Rb.upf
Pt 195.08 Pt.upf
Cd 112.41 Cd.upf
ATOMIC_POSITIONS angstrom
S 0.000 2.833 0.000
Rb 0.000 0.000 0.000
Pt 0.000 0.000 2.543
Pt 2.543 0.000 0.000
Cd 2.543 2.833 2.543
CELL_PARAMETERS angstrom
5.086 0.000 0.000
0.000 5.667 0.000
0.000 0.000 5.086
```

***

# 2
The following is a PBE calculation of an optimized crystal structure of LaTl, from the Alexandria database. Values from VASP.

Results
- mass density (g/cm3) = 6.0
- E_form (eV/atom) = 0.456

Cell and atoms, written as Quantum ESPRESSO input:
```
&SYSTEM
  ibrav = 0, nat = 8, ntyp = 2
/
ATOMIC_SPECIES
La 138.91 La.upf
Tl 204.38 Tl.upf
ATOMIC_POSITIONS angstrom
La -2.967 -0.898 0.487
La -5.977 -4.767 1.981
La -7.248 0.062 3.136
La -7.547 -1.578 -1.710
Tl 0.000 0.000 0.000
Tl -3.010 -3.869 1.495
Tl -4.281 0.959 2.649
Tl -4.579 -0.680 -2.197
CELL_PARAMETERS angstrom
-5.851 4.148 -1.043
-3.308 -5.509 -3.352
-2.711 -2.230 6.341
```

***

# 3
The following is a PBE calculation of an optimized crystal structure of KY2Ag2Se4, from the Alexandria database. Values from VASP.

Results
- energy relative to the elements, uncorrected (eV/atom) = -1.104
- mass density (g/cm3) = 5.6

Cell and atoms, written as Quantum ESPRESSO input:
```
&SYSTEM
  ibrav = 0, nat = 9, ntyp = 4
/
ATOMIC_SPECIES
K 39.10 K.upf
Y 88.91 Y.upf
Ag 107.87 Ag.upf
Se 78.96 Se.upf
ATOMIC_POSITIONS angstrom
K 0.000 0.000 0.000
Y -0.009 -2.822 4.811
Y 3.210 -0.160 2.674
Ag 5.052 -1.431 5.037
Ag -1.851 -1.550 2.447
Se 2.290 -0.902 5.297
Se 0.911 -2.080 2.187
Se -0.533 -5.464 3.412
Se 3.734 2.482 4.073
CELL_PARAMETERS angstrom
-2.125 1.870 2.663
-1.649 -7.590 1.178
6.976 2.739 3.644
```

***

# 4
The following is a PBE calculation of an optimized crystal structure of GdErZnNi, from the Alexandria database. Values from VASP.

Results
- mass density (g/cm3) = 8.9
- E_form (eV/atom) = -0.342

Cell and atoms, written as Quantum ESPRESSO input:
```
&SYSTEM
  ibrav = 0, nat = 4, ntyp = 4
/
ATOMIC_SPECIES
Ni 58.69 Ni.upf
Zn 65.41 Zn.upf
Gd 157.25 Gd.upf
Er 167.26 Er.upf
ATOMIC_POSITIONS angstrom
Ni -0.260 -2.487 1.673
Zn -0.781 -7.462 5.019
Gd -0.521 -4.975 3.346
Er 0.000 0.000 0.000
CELL_PARAMETERS angstrom
-3.076 -3.532 1.485
1.655 -4.578 0.666
0.379 -1.839 4.541
```

***

# 5
The following is a PBE calculation of an optimized crystal structure of Rb2CaCoCl6, from the Alexandria database. Values from VASP.

Results
- energy relative to the elements, uncorrected (eV/atom) = -1.647
- mass density (g/cm3) = 2.9

Cell and atoms, written as Quantum ESPRESSO input:
```
&SYSTEM
  ibrav = 0, nat = 10, ntyp = 4
/
ATOMIC_SPECIES
Ca 40.08 Ca.upf
Co 58.93 Co.upf
Rb 85.47 Rb.upf
Cl 35.45 Cl.upf
ATOMIC_POSITIONS angstrom
Ca 0.059 -1.575 4.920
Co 0.000 0.000 0.000
Rb 1.122 0.978 8.437
Rb 3.592 -3.335 7.027
Cl 2.445 -0.330 5.290
Cl 2.269 -2.027 10.174
Cl 0.028 -0.747 2.334
Cl 0.090 -2.402 7.507
Cl -1.239 0.693 5.661
Cl 1.357 -3.842 4.179
CELL_PARAMETERS angstrom
-2.410 2.739 6.330
2.528 -5.888 3.510
4.596 0.793 5.623
```

***

# 6
The following is a PBE calculation of an optimized crystal structure of LiTb2Dy, from the Alexandria database. Values from VASP.

Results
- mass density (g/cm3) = 6.4
- distance to the lowest polymorph of the same formula (eV per atom) = 0.1065
- E_form (eV/atom) = 0.176

Cell and atoms, written as Quantum ESPRESSO input:
```
&SYSTEM
  ibrav = 0, nat = 4, ntyp = 3
/
ATOMIC_SPECIES
Li 6.94 Li.upf
Tb 158.93 Tb.upf
Dy 162.50 Dy.upf
ATOMIC_POSITIONS angstrom
Li 0.000 0.000 0.000
Tb 1.731 1.000 8.918
Tb 5.194 2.999 3.242
Dy 3.463 1.999 6.080
CELL_PARAMETERS angstrom
3.463 0.000 0.000
1.731 2.999 0.000
1.731 1.000 12.159
```

***

# 7
The following is a PBE calculation of an optimized crystal structure of TaTlOs, from the Alexandria database. Values from VASP.

Results
- mass density (g/cm3) = 17.5
- distance to the lowest polymorph of the same formula (eV per atom) = 0.2846
- E_form (eV/atom) = 0.608

Cell and atoms, written as Quantum ESPRESSO input:
```
&SYSTEM
  ibrav = 0, nat = 3, ntyp = 3
/
ATOMIC_SPECIES
Os 190.23 Os.upf
Ta 180.95 Ta.upf
Tl 204.38 Tl.upf
ATOMIC_POSITIONS angstrom
Os -2.822 0.355 -0.583
Ta -1.145 -2.534 -0.112
Tl -2.794 -0.939 1.833
CELL_PARAMETERS angstrom
-0.062 -4.057 -2.173
-0.904 0.210 4.508
-2.898 0.365 -0.598
```

***

# 8
The following is a PBE calculation of an optimized crystal structure of Rb2AgCl7, from the Alexandria database. Values from VASP.

Results
- energy relative to the elements, uncorrected (eV/atom) = -0.920
- mass density (g/cm3) = 2.7

Cell and atoms, written as Quantum ESPRESSO input:
```
&SYSTEM
  ibrav = 0, nat = 10, ntyp = 3
/
ATOMIC_SPECIES
Rb 85.47 Rb.upf
Ag 107.87 Ag.upf
Cl 35.45 Cl.upf
ATOMIC_POSITIONS angstrom
Rb -3.726 0.859 1.919
Rb -2.201 -4.000 -0.351
Ag -5.207 0.758 -2.155
Cl 0.000 0.000 0.000
Cl -1.014 -1.194 1.700
Cl -4.913 -1.947 -0.132
Cl -0.064 -5.443 2.092
Cl -5.862 2.302 -0.524
Cl -7.444 0.452 -2.767
Cl 1.518 -3.593 4.335
CELL_PARAMETERS angstrom
-7.044 5.456 0.468
-3.370 -3.941 -4.777
4.487 -4.657 5.878
```